! Er2ZrFe (GGA-PBE, relaxed); values from VASP
&SYSTEM
  ibrav = 0, nat = 4, ntyp = 3
/
ATOMIC_SPECIES
Fe 55.84 Fe.upf
Zr 91.22 Zr.upf
Er 167.26 Er.upf
CELL_PARAMETERS angstrom
3.2426 0.0000 0.0000
1.6213 2.8082 0.0000
1.6213 0.9361 10.5913
ATOMIC_POSITIONS crystal
Fe 0.0000 0.0000 0.0000
Zr 0.5000 0.5000 0.5000
Er 0.0826 0.0826 0.7521
Er 0.9174 0.9174 0.2479
! SG	No. 166
! theoretical density	8.3	g cm⁻³
! formation energy from the elements	0.54	eV/atom
! D(E_F)	4.17	states/eV/cell


! HfCo2Si (GGA-PBE, relaxed); values from VASP
&SYSTEM
  ibrav = 0, nat = 4, ntyp = 3
/
ATOMIC_SPECIES
Co 58.93 Co.upf
Si 28.09 Si.upf
Hf 178.49 Hf.upf
CELL_PARAMETERS angstrom
3.3287 0.0000 0.0000
0.0000 3.9928 0.0000
0.0000 0.0000 3.9928
ATOMIC_POSITIONS crystal
Co 0.0000 0.0000 0.5000
Co 0.0000 0.5000 0.0000
Si 0.5000 0.0000 0.0000
Hf 0.5000 0.5000 0.5000
! SG	No. 123
! theoretical density	10.2	g cm⁻³
! total DFT energy (no corrections)	-31.4	eV per cell
! D(E_F)	2.84	states/eV/cell


! Er3Sn2Ir (GGA-PBE, relaxed); values from VASP
&SYSTEM
  ibrav = 0, nat = 24, ntyp = 3
/
ATOMIC_SPECIES
Er 167.26 Er.upf
Sn 118.71 Sn.upf
Ir 192.22 Ir.upf
CELL_PARAMETERS angstrom
-3.6031 -1.7693 -1.6888
4.7196 0.3939 -10.4821
4.7153 -11.2263 1.7012
ATOMIC_POSITIONS crystal
Er 0.2500 0.3703 0.0541
Er 0.7500 0.6297 0.9459
Er 0.7500 0.8703 0.4459
Er 0.2500 0.1297 0.5541
Er 0.2500 0.7120 0.2457
Er 0.7500 0.2880 0.7543
Er 0.7500 0.2120 0.2543
Er 0.2500 0.7880 0.7457
Er 0.2500 0.4566 0.3805
Er 0.7500 0.5434 0.6195
Er 0.7500 0.9566 0.1195
Er 0.2500 0.0434 0.8805
Sn 0.2500 0.6942 0.5079
Sn 0.7500 0.3058 0.4921
Sn 0.7500 0.1942 0.9921
Sn 0.2500 0.8058 0.0079
Sn 0.2500 0.0014 0.3134
Sn 0.7500 0.9986 0.6866
Sn 0.7500 0.5014 0.1866
Sn 0.2500 0.4986 0.8134
Ir 0.2500 0.1305 0.1245
Ir 0.7500 0.8695 0.8755
Ir 0.7500 0.6305 0.3755
Ir 0.2500 0.3695 0.6245
! SG	No. 62
! theoretical density	10.0	g cm⁻³
! formation energy from the elements	-0.77	eV/atom
! D(E_F)	11.50	states/eV/cell


! Gd2MgAl (GGA-PBE, relaxed); values from VASP
&SYSTEM
  ibrav = 0, nat = 4, ntyp = 3
/
ATOMIC_SPECIES
Mg 24.30 Mg.upf
Gd 157.25 Gd.upf
Al 26.98 Al.upf
CELL_PARAMETERS angstrom
-3.3915 2.6974 -2.9686
-2.4780 -2.3764 -3.9754
-5.1474 -0.9926 0.3316
ATOMIC_POSITIONS crystal
Mg 0.7500 0.7500 0.7500
Gd 0.0000 0.0000 0.0000
Gd 0.5000 0.5000 0.5000
Al 0.2500 0.2500 0.2500
! SG	No. 225
! theoretical density	5.9	g cm⁻³
! formation energy from the elements	-0.27	eV/atom
! D(E_F)	3.39	states/eV/cell


! Mn2VCdRe (GGA-PBE, relaxed); values from VASP
&SYSTEM
  ibrav = 0, nat = 5, ntyp = 4
/
ATOMIC_SPECIES
Re 186.21 Re.upf
V 50.94 V.upf
Mn 54.94 Mn.upf
Cd 112.41 Cd.upf
CELL_PARAMETERS angstrom
-0.2121 0.1467 -4.0921
-3.8686 -2.9278 0.0955
-2.4661 3.2666 0.2450
ATOMIC_POSITIONS crystal
Re 0.5000 0.5000 0.5000
V 0.0000 0.0000 0.0000
Mn 0.0000 0.0000 0.5000
Mn 0.5000 0.0000 0.0000
Cd 0.0000 0.5000 0.0000
! SG	No. 123
! theoretical density	9.4	g cm⁻³
! formation energy from the elements	1.71	eV/atom
! D(E_F)	7.77	states/eV/cell


! KBa2Sr (GGA-PBE, relaxed); values from VASP
&SYSTEM
  ibrav = 0, nat = 4, ntyp = 3
/
ATOMIC_SPECIES
Sr 87.62 Sr.upf
K 39.10 K.upf
Ba 137.33 Ba.upf
CELL_PARAMETERS angstrom
5.0436 0.0000 0.0000
0.0000 5.0436 0.0000
0.0000 0.0000 9.9540
ATOMIC_POSITIONS crystal
Sr 0.5000 0.5000 0.7608
K 0.0000 0.0000 0.5072
Ba 0.0000 0.0000 0.9927
Ba 0.5000 0.5000 0.2393
! SG	No. 99
! theoretical density	2.6	g cm⁻³
! formation energy from the elements	0.08	eV/atom
! D(E_F)	5.35	states/eV/cell


! Mg2B (GGA-PBE, relaxed); values from VASP
&SYSTEM
  ibrav = 0, nat = 6, ntyp = 2
/
ATOMIC_SPECIES
Mg 24.30 Mg.upf
B 10.81 B.upf
CELL_PARAMETERS angstrom
3.1388 0.0000 0.0000
-1.5694 2.7183 0.0000
0.0000 0.0000 11.2134
ATOMIC_POSITIONS crystal
Mg 0.3333 0.6667 0.8826
Mg 0.6667 0.3333 0.1174
Mg 0.0000 0.0000 0.3509
Mg 0.0000 0.0000 0.6491
B 0.3333 0.6667 0.5010
B 0.6667 0.3333 0.4990
! SG	No. 164
! theoretical density	2.1	g cm⁻³
! formation energy from the elements	-0.05	eV/atom
! D(E_F)	1.91	states/eV/cell


! Cu2GeS (GGA-PBE, relaxed); values from VASP
&SYSTEM
  ibrav = 0, nat = 8, ntyp = 3
/
ATOMIC_SPECIES
Ge 72.64 Ge.upf
S 32.06 S.upf
Cu 63.55 Cu.upf
CELL_PARAMETERS angstrom
5.7690 0.0000 0.0000
0.0000 5.7690 0.0000
2.8845 2.8845 4.4830
ATOMIC_POSITIONS crystal
Ge 0.0000 0.0000 0.0000
Ge 0.7500 0.2500 0.5000
S 0.5000 0.5000 0.0000
S 0.2500 0.7500 0.5000
Cu 0.5959 0.1250 0.2500
Cu 0.1541 0.6250 0.2500
Cu 0.3750 0.4041 0.7500
Cu 0.8750 0.8459 0.7500
! SG	No. 122
! theoretical density	5.2	g cm⁻³
! total DFT energy (no corrections)	-33.0	eV per cell
! D(E_F)	1.81	states/eV/cell